(a)
Below is crystalline Pr2Dy9Er at its relaxed geometry, with properties calculated at the PBE level.

a b c (Å): 11.2889 11.2889 3.4914
angles (deg): 90.00 90.00 120.00
Last column: nearest neighbours and their distance in Å.
Fractional positions:
Pr1 0.3333 0.6667 0.0000  9 Dy 3.26-3.60, 2 Pr 3.49
Pr2 0.6667 0.3333 0.0000  9 Dy 3.26-3.60, 2 Pr 3.49
Dy1 0.0000 0.5000 0.0000  2 Pr 3.26, 10 Dy 3.49-3.65
Dy2 0.1724 0.3449 0.5000  8 Dy 3.37-3.65, 2 Pr 3.60
Dy3 0.1724 0.8276 0.5000  8 Dy 3.37-3.65, 2 Pr 3.60
Dy4 0.3449 0.1724 0.5000  8 Dy 3.37-3.65, 2 Pr 3.60
Dy5 0.5000 0.0000 0.0000  2 Pr 3.26, 10 Dy 3.49-3.65
Dy6 0.5000 0.5000 0.0000  2 Pr 3.26, 10 Dy 3.49-3.65
Dy7 0.6551 0.8276 0.5000  8 Dy 3.37-3.65, 2 Pr 3.60
Dy8 0.8276 0.1724 0.5000  8 Dy 3.37-3.65, 2 Pr 3.60
Dy9 0.8276 0.6551 0.5000  8 Dy 3.37-3.65, 2 Pr 3.60
Er1 0.0000 0.0000 0.0000  2 Er 3.49, 12 Dy 3.80

Results
Space-group type: No. 191
DOS(E_F), states/eV per cell: 19.379
Total moment, μB per formula unit: 0.0



(b)
Below is crystalline Pr2Dy9Er at its relaxed geometry, with properties calculated at the PBE level.

a b c (Å): 5.0457 5.0457 15.1304
angles (deg): 90.00 90.00 90.00
Last column: nearest neighbours and their distance in Å.
Fractional positions:
Pr1 0.0000 0.0000 0.1675  12 Dy 3.57-3.59
Pr2 0.0000 0.0000 0.8325  12 Dy 3.57-3.59
Dy1 0.0000 0.5000 0.0000  8 Dy 3.57-3.59, 4 Pr 3.58
Dy2 0.0000 0.5000 0.3362  8 Dy 3.54-3.58, 2 Er 3.54, 2 Pr 3.59
Dy3 0.0000 0.5000 0.6638  8 Dy 3.54-3.58, 2 Er 3.54, 2 Pr 3.59
Dy4 0.5000 0.0000 0.0000  8 Dy 3.57-3.59, 4 Pr 3.58
Dy5 0.5000 0.0000 0.3362  8 Dy 3.54-3.58, 2 Er 3.54, 2 Pr 3.59
Dy6 0.5000 0.0000 0.6638  8 Dy 3.54-3.58, 2 Er 3.54, 2 Pr 3.59
Dy7 0.5000 0.5000 0.1684  4 Pr 3.57, 8 Dy 3.58-3.59
Dy8 0.5000 0.5000 0.5000  8 Dy 3.54, 4 Er 3.57
Dy9 0.5000 0.5000 0.8316  4 Pr 3.57, 8 Dy 3.58-3.59
Er1 0.0000 0.0000 0.5000  12 Dy 3.54-3.57

Results
Space-group type: No. 123
DOS(E_F), states/eV per cell: 17.716
Total moment, μB per formula unit: 0.0



(b) is the most stable structure; the next one sits 4.9 kJ/mol of atoms above it.



(a)
Below is crystalline Pr2Dy5Er3 at its relaxed geometry, with properties calculated at the PBE level.

a b c (Å): 9.6076 9.6076 9.3700
angles (deg): 108.14 108.14 112.84
Last column: nearest neighbours and their distance in Å.
Fractional positions:
Pr1 0.0137 0.2673 0.0461  3 Er 3.14-3.44, 3 Dy 3.29-3.45
Pr2 0.2673 0.0137 0.5461  3 Er 3.14-3.44, 3 Dy 3.29-3.45
Pr3 0.7327 0.9863 0.4539  3 Er 3.14-3.44, 3 Dy 3.29-3.45
Pr4 0.9863 0.7327 0.9539  3 Er 3.14-3.44, 3 Dy 3.29-3.45
Dy1 0.1531 0.3872 0.7832  3 Er 3.41-3.59, 2 Pr 3.44-3.66, 3 Dy 3.52-3.70
Dy2 0.2318 0.7682 0.7500  5 Er 3.31-3.50, 2 Pr 3.45, 2 Dy 3.57
Dy3 0.2742 0.7258 0.2500  1 Dy 3.15, 2 Pr 3.29
Dy4 0.3872 0.1531 0.2832  3 Er 3.41-3.59, 2 Pr 3.44-3.66, 3 Dy 3.52-3.70
Dy5 0.4712 0.5288 0.2500  3 Dy 3.15-3.52, 4 Er 3.33-3.48
Dy6 0.5288 0.4712 0.7500  3 Dy 3.15-3.52, 4 Er 3.33-3.48
Dy7 0.6128 0.8469 0.7168  3 Er 3.41-3.59, 2 Pr 3.44-3.66, 3 Dy 3.52-3.70
Dy8 0.7258 0.2742 0.7500  1 Dy 3.15, 2 Pr 3.29
Dy9 0.7682 0.2318 0.2500  5 Er 3.31-3.50, 2 Pr 3.45, 2 Dy 3.57
Dy10 0.8469 0.6128 0.2168  3 Er 3.41-3.59, 2 Pr 3.44-3.66, 3 Dy 3.52-3.70
Er1 0.0235 0.9765 0.7500  4 Pr 3.33-3.44, 3 Dy 3.33-3.52, 2 Er 3.38
Er2 0.2213 0.4623 0.4516  1 Pr 3.14, 5 Dy 3.31-3.50, 1 Er 3.38
Er3 0.4623 0.2213 0.9516  1 Pr 3.14, 5 Dy 3.31-3.50, 1 Er 3.38
Er4 0.5377 0.7787 0.0484  1 Pr 3.14, 5 Dy 3.31-3.50, 1 Er 3.38
Er5 0.7787 0.5377 0.5484  1 Pr 3.14, 5 Dy 3.31-3.50, 1 Er 3.38
Er6 0.9765 0.0235 0.2500  4 Pr 3.33-3.44, 3 Dy 3.33-3.52, 2 Er 3.38

Results
Space-group type: No. 15
DOS(E_F), states/eV per cell: 34.594
Total moment, μB per formula unit: 0.0



(b)
Below is crystalline Pr2Dy5Er3 at its relaxed geometry, with properties calculated at the PBE level.

a b c (Å): 12.2991 12.2991 12.2991
angles (deg): 135.12 56.18 147.99
Last column: nearest neighbours and their distance in Å.
Fractional positions:
Pr1 0.1250 0.1038 0.2288  1 Dy 2.89
Pr2 0.3750 0.6038 0.9787  1 Dy 2.89
Pr3 0.6250 0.3962 0.0213  1 Dy 2.89
Pr4 0.8750 0.8962 0.7712  1 Dy 2.89
Dy1 0.0015 0.7500 0.2515  4 Dy 3.29-3.39, 2 Pr 3.37
Dy2 0.1244 0.4118 0.5362  1 Pr 2.89, 1 Er 3.17
Dy3 0.2500 0.7500 0.5000  6 Dy 3.29-3.39
Dy4 0.3756 0.9118 0.2874  1 Pr 2.89, 1 Er 3.17
Dy5 0.4985 0.7500 0.7485  4 Dy 3.29-3.39, 2 Pr 3.37
Dy6 0.5015 0.2500 0.2515  4 Dy 3.29-3.39, 2 Pr 3.37
Dy7 0.6244 0.0882 0.7126  1 Pr 2.89, 1 Er 3.17
Dy8 0.7500 0.2500 0.5000  6 Dy 3.29-3.39
Dy9 0.8756 0.5882 0.4638  1 Pr 2.89, 1 Er 3.17
Dy10 0.9985 0.2500 0.7485  4 Dy 3.29-3.39, 2 Pr 3.37
Er1 0.1239 0.7497 0.8736  1 Dy 3.17, 1 Pr 3.32
Er2 0.2500 0.2500 0.0000  4 Pr 3.34, 2 Er 3.39
Er3 0.3761 0.2497 0.6258  1 Dy 3.17, 1 Pr 3.32
Er4 0.6239 0.7503 0.3742  1 Dy 3.17, 1 Pr 3.32
Er5 0.7500 0.7500 0.0000  4 Pr 3.34, 2 Er 3.39
Er6 0.8761 0.2503 0.1264  1 Dy 3.17, 1 Pr 3.32

Results
Space-group type: No. 72
DOS(E_F), states/eV per cell: 30.809
Total moment, μB per formula unit: 0.0



(a) is the most stable structure; the next one sits 21.0 kJ/mol of atoms above it.



(a)
Below is crystalline Pr2Dy5Er2 at its relaxed geometry, with properties calculated at the PBE level.

a b c (Å): 11.0099 11.0099 8.2152
angles (deg): 99.75 99.75 18.25
Last column: nearest neighbours and their distance in Å.
Fractional positions:
Pr1 0.1803 0.1803 0.1439  2 Pr 3.49, 5 Dy 3.52-3.89
Pr2 0.8197 0.8197 0.8561  2 Pr 3.49, 5 Dy 3.52-3.89
Dy1 0.0000 0.0000 0.0000  4 Dy 3.26-3.49, 4 Er 3.41
Dy2 0.0944 0.0944 0.7321  5 Dy 3.26-3.49, 4 Er 3.50-3.54, 1 Pr 3.57
Dy3 0.3096 0.3096 0.4675  1 Er 3.20, 6 Dy 3.24-3.49, 1 Pr 3.52
Dy4 0.6904 0.6904 0.5325  1 Er 3.20, 6 Dy 3.24-3.49, 1 Pr 3.52
Dy5 0.9056 0.9056 0.2679  5 Dy 3.26-3.49, 4 Er 3.50-3.54, 1 Pr 3.57
Er1 0.4530 0.4530 0.6436  7 Dy 3.20-3.54, 3 Er 3.38-3.49
Er2 0.5470 0.5470 0.3564  7 Dy 3.20-3.54, 3 Er 3.38-3.49

Results
Space-group type: No. 12
DOS(E_F), states/eV per cell: 13.034
Total moment, μB per formula unit: 0.0



(b)
Below is crystalline Pr2Dy5Er2 at its relaxed geometry, with properties calculated at the PBE level.

a b c (Å): 8.9338 8.9338 11.9167
angles (deg): 114.61 114.61 44.14
Last column: nearest neighbours and their distance in Å.
Fractional positions:
Pr1 0.1165 0.1165 0.1181  7 Dy 3.41-3.81, 2 Pr 3.61-3.80, 2 Er 3.65-3.69
Pr2 0.4144 0.3090 0.3631  3 Dy 3.23-3.53, 1 Er 3.53
Pr3 0.6910 0.5856 0.6369  3 Dy 3.23-3.53, 1 Er 3.53
Pr4 0.8835 0.8835 0.8819  7 Dy 3.41-3.81, 2 Pr 3.61-3.80, 2 Er 3.65-3.69
Dy1 0.0504 0.3011 0.4307  4 Dy 3.29-3.63, 3 Er 3.49-3.52, 2 Pr 3.50-3.53
Dy2 0.1207 0.7488 0.1938  3 Dy 2.98-3.03
Dy3 0.1795 0.3620 0.0081  1 Dy 3.02, 1 Er 3.31
Dy4 0.2512 0.8793 0.8062  3 Dy 2.98-3.03
Dy5 0.2659 0.5104 0.6463  2 Dy 2.98-3.29
Dy6 0.4896 0.7341 0.3537  2 Dy 2.98-3.29
Dy7 0.6380 0.8205 0.9919  1 Dy 3.02, 1 Er 3.31
Dy8 0.6877 0.2142 0.1946  1 Dy 3.03, 1 Pr 3.23, 1 Er 3.30
Dy9 0.6989 0.9496 0.5693  4 Dy 3.29-3.63, 3 Er 3.49-3.52, 2 Pr 3.50-3.53
Dy10 0.7858 0.3123 0.8054  1 Dy 3.03, 1 Pr 3.23, 1 Er 3.30
Er1 0.0246 0.9754 0.5000  8 Dy 3.48-3.87, 2 Er 3.61, 2 Pr 3.82
Er2 0.3075 0.1603 0.7274  5 Dy 3.31-3.52, 2 Pr 3.53-3.69, 1 Er 3.61
Er3 0.4727 0.5273 0.0000  4 Dy 3.30-3.53, 2 Pr 3.65
Er4 0.8397 0.6925 0.2726  5 Dy 3.31-3.52, 2 Pr 3.53-3.69, 1 Er 3.61

Results
Space-group type: No. 5
DOS(E_F), states/eV per cell: 27.510
Total moment, μB per formula unit: 0.0



(b) is the most stable structure; the next one sits 5.5 kJ/mol of atoms above it.



(a)
Below is crystalline PrDyEr4 at its relaxed geometry, with properties calculated at the PBE level.

a b c (Å): 6.5723 6.5723 6.5723
angles (deg): 60.00 60.00 60.00
Last column: nearest neighbours and their distance in Å.
Fractional positions:
Pr1 0.0000 0.0000 0.0000  12 Er 3.85, 4 Dy 4.02
Dy1 0.2500 0.2500 0.2500  12 Er 3.85, 4 Pr 4.02
Er1 0.1267 0.6244 0.6244  6 Er 3.27-3.30
Er2 0.6244 0.1267 0.6244  6 Er 3.27-3.30
Er3 0.6244 0.6244 0.1267  6 Er 3.27-3.30
Er4 0.6244 0.6244 0.6244  6 Er 3.27-3.30

Results
Space-group type: No. 216
DOS(E_F), states/eV per cell: 12.372
Total moment, μB per formula unit: 1.5



(b)
Below is crystalline PrDyEr4 at its relaxed geometry, with properties calculated at the PBE level.

a b c (Å): 8.5421 8.5421 6.4025
angles (deg): 99.80 99.80 117.89
Last column: nearest neighbours and their distance in Å.
Fractional positions:
Pr1 0.0843 0.9157 0.7500  10 Er 3.50-3.91
Pr2 0.9157 0.0843 0.2500  10 Er 3.50-3.91
Dy1 0.4990 0.5010 0.2500  2 Dy 3.20, 8 Er 3.35-3.55
Dy2 0.5010 0.4990 0.7500  2 Dy 3.20, 8 Er 3.35-3.55
Er1 0.0740 0.3391 0.8807  3 Er 3.30-3.47, 2 Dy 3.46-3.55, 2 Pr 3.50-3.62
Er2 0.2117 0.6012 0.4666  5 Er 3.30-3.66, 2 Dy 3.35-3.38, 1 Pr 3.67
Er3 0.3391 0.0740 0.3807  3 Er 3.30-3.47, 2 Dy 3.46-3.55, 2 Pr 3.50-3.62
Er4 0.3988 0.7883 0.0334  5 Er 3.30-3.66, 2 Dy 3.35-3.38, 1 Pr 3.67
Er5 0.6012 0.2117 0.9666  5 Er 3.30-3.66, 2 Dy 3.35-3.38, 1 Pr 3.67
Er6 0.6609 0.9260 0.6193  3 Er 3.30-3.47, 2 Dy 3.46-3.55, 2 Pr 3.50-3.62
Er7 0.7883 0.3988 0.5334  5 Er 3.30-3.66, 2 Dy 3.35-3.38, 1 Pr 3.67
Er8 0.9260 0.6609 0.1193  3 Er 3.30-3.47, 2 Dy 3.46-3.55, 2 Pr 3.50-3.62

Results
Space-group type: No. 15
DOS(E_F), states/eV per cell: 20.595
Total moment, μB per formula unit: 0.0



(c)
Below is crystalline PrDyEr4 at its relaxed geometry, with properties calculated at the PBE level.

a b c (Å): 3.5529 6.1321 9.3646
angles (deg): 77.35 79.14 73.27
Last column: nearest neighbours and their distance in Å.
Fractional positions:
Pr1 0.0000 0.0000 0.0000  10 Er 3.54-3.57, 2 Pr 3.55
Dy1 0.0000 0.5000 0.5000  10 Er 3.53-3.54, 2 Dy 3.55
Er1 0.3316 0.0000 0.3364  7 Er 3.49-3.56, 3 Dy 3.53-3.54, 2 Pr 3.57
Er2 0.3326 0.5027 0.8312  2 Dy 3.53, 7 Er 3.53-3.57, 3 Pr 3.54-3.56
Er3 0.6674 0.4973 0.1688  2 Dy 3.53, 7 Er 3.53-3.57, 3 Pr 3.54-3.56
Er4 0.6684 0.0000 0.6636  7 Er 3.49-3.56, 3 Dy 3.53-3.54, 2 Pr 3.57

Results
Space-group type: No. 2
DOS(E_F), states/eV per cell: 7.675
Total moment, μB per formula unit: 0.0



(c) is the most stable structure; the next one sits 11.8 kJ/mol of atoms above it.